! Sn2HI | Alexandria via LeMat-Bulk | GGA-PBE | relaxed; values from VASP
&SYSTEM
  ibrav = 0, nat = 16, ntyp = 3
/
ATOMIC_SPECIES
Sn 118.71 Sn.upf
H 1.01 H.upf
I 126.90 I.upf
ATOMIC_POSITIONS crystal
Sn 0.250 0.250 0.250
Sn 0.250 0.250 0.750
Sn 0.250 0.750 0.250
Sn 0.250 0.750 0.750
Sn 0.750 0.250 0.250
Sn 0.750 0.250 0.750
Sn 0.750 0.750 0.250
Sn 0.750 0.750 0.750
H 0.000 0.000 0.000
H 0.000 0.500 0.500
H 0.500 0.000 0.500
H 0.500 0.500 0.000
I 0.000 0.000 0.500
I 0.000 0.500 0.000
I 0.500 0.000 0.000
I 0.500 0.500 0.500
CELL_PARAMETERS angstrom
7.482 0.000 0.000
0.000 7.482 0.000
0.000 0.000 7.482
! Spin magnetization ... 0.00 μB/atom
! Energy relative to the lowest polymorph listed for this composition ... 0.338 eV per atom
! Uncorrected energy ... -2.595 eV per atom